No. 1
Below is Co2Ni3Se8 after structural relaxation, with properties calculated at the PBE-GGA level.

```
Co2Ni3Se8
1.0
7.432 0.678 3.424
3.337 5.482 3.229
2.247 -0.593 6.798
Se Ni Co
8 3 2
Cartesian
9.689 3.944 9.672 Se
6.216 4.040 8.775 Se
3.327 1.623 3.779 Se
6.799 1.527 4.676 Se
8.447 4.255 6.254 Se
5.115 4.356 5.408 Se
4.568 1.312 7.197 Se
7.901 1.211 8.043 Se
3.075 4.024 4.085 Ni
2.508 0.864 5.942 Ni
3.716 0.339 1.712 Ni
4.291 3.663 7.546 Co
8.724 1.904 5.906 Co
```

Output
SG: No. 12
Fermi-level density of states in states/eV/cell: 7.293
Total DFT energy (no corrections) in eV/atom: -4.86
Spin magnetization in μB/cell: 0.0

***

No. 2
Below is CoNiSe after structural relaxation, with properties calculated at the PBE-GGA level.

```
CoNiSe
1.0
-1.513 1.976 3.008
0.413 -1.362 3.636
4.857 3.327 2.792
Co Ni Se
2 2 2
Cartesian
2.280 2.635 7.018 Co
1.476 1.306 2.418 Co
-0.156 0.755 4.494 Ni
3.912 3.187 4.943 Ni
3.468 2.497 2.638 Se
0.288 1.445 6.798 Se
```

Output
SG: No. 166
Fermi-level density of states in states/eV/cell: 4.833
ΔE to the lowest computed polymorph in eV per atom: 0.037
Total DFT energy (no corrections) in eV/atom: -5.44
Spin magnetization in μB/cell: 1.5

***

No. 3
Below is Co3NiSe8 after structural relaxation, with properties calculated at the PBE-GGA level.

```
Co3NiSe8
1.0
7.064 0.000 0.000
-3.532 4.284 -4.364
0.000 -0.659 7.974
Se Co Ni
8 3 1
Cartesian
3.532 1.295 4.222 Se
0.000 1.312 4.200 Se
0.000 2.329 -0.612 Se
5.277 0.151 1.595 Se
3.532 2.313 -0.589 Se
-1.744 3.474 2.015 Se
1.788 0.151 1.595 Se
1.744 3.474 2.015 Se
3.532 0.000 0.000 Co
1.766 2.142 -2.182 Co
-1.766 2.142 -2.182 Co
0.000 0.000 0.000 Ni
```

Output
SG: No. 12
Fermi-level density of states in states/eV/cell: 7.644
Total DFT energy (no corrections) in eV/atom: -4.87
Spin magnetization in μB/cell: 0.0

***

No. 4
Below is Co2Ni2Se7 after structural relaxation, with properties calculated at the PBE-GGA level.

```
Co2Ni2Se7
1.0
-2.693 3.218 -2.240
-5.442 -4.231 -0.297
-4.599 0.253 5.136
Se Co Ni
7 2 2
Cartesian
-4.927 -1.045 1.626 Se
-10.041 -3.977 4.839 Se
-7.438 -0.649 4.056 Se
-4.866 2.182 1.319 Se
-7.868 -2.941 1.279 Se
-5.296 -0.110 -1.458 Se
-7.807 0.286 0.972 Se
-10.076 0.241 1.361 Co
-2.658 -1.000 1.237 Co
-6.152 0.769 2.689 Ni
-6.581 -1.528 -0.090 Ni
```

Output
SG: No. 12
Fermi-level density of states in states/eV/cell: 6.272
Total DFT energy (no corrections) in eV/atom: -4.68
Spin magnetization in μB/cell: 0.0